1.
Below is an optimized crystal structure of KInBi2S, with properties calculated at the GGA-PBE level.

The space group is P4/mmm (No. 123) and the conventional cell measures 5.8983, 5.8983 and 5.3163 Å, with angles of 90.00, 90.00 and 90.00 degrees. Symmetry generates all atoms from K at (0.0000, 0.0000, 0.0000), In at (0.5000, 0.5000, 0.5000), Bi at (0.0000, 0.5000, 0.5000) and S at (0.5000, 0.5000, 0.0000).

As for the volume: 36.99 A^3/atom. The formation energy without anion corrections comes out at 0.19 eV per atom. The total energy is -2.957 eV/atom. The density of states at the Fermi level comes out at 4.5 states/eV per cell. Its density is 5422 kg/m³.

2.
Below is an optimized crystal structure of CsO2F2, with properties calculated at the GGA-PBE level.

The space group is P4/mmm (No. 123) and the conventional cell measures 5.0309, 5.0309 and 4.5172 Å, with angles of 90.00, 90.00 and 90.00 degrees. Symmetry generates all atoms from Cs at (0.0000, 0.0000, 0.0000), O at (0.0000, 0.0000, 0.5000), O at (0.5000, 0.5000, 0.5000) and F at (0.0000, 0.5000, 0.0000).

The value obtained for the offset from the most stable computed form is 3.38 eV per formula unit. As for the volume: 22.87 A^3/atom. The formation energy without anion corrections comes out at 0.33 eV per atom. The total energy is -2.569 eV/atom. The density of states at the Fermi level comes out at 7.1 states/eV per cell. Its density is 2947 kg/m³.

3.
Below is an optimized crystal structure of PmHoMgNi, with properties calculated at the GGA-PBE level.

The space group is F-43m (No. 216) and the conventional cell measures 7.2197, 7.2197 and 7.2197 Å, with angles of 90.00, 90.00 and 90.00 degrees. Symmetry generates all atoms from Pm at (0.0000, 0.0000, 0.0000), Ho at (0.0000, 0.0000, 0.5000), Mg at (0.2500, 0.2500, 0.7500) and Ni at (0.2500, 0.2500, 0.2500).

As for the volume: 23.52 A^3/atom. The total energy is -4.262 eV/atom. The density of states at the Fermi level comes out at 13.6 states/eV per cell. Its density is 6935 kg/m³.

4.
Below is an optimized crystal structure of Sm9Er4Hg11, with properties calculated at the GGA-PBE level.

The space group is Cmmm (No. 65) and the conventional cell measures 15.7784, 23.1424 and 3.5555 Å, with angles of 90.00, 90.00 and 90.00 degrees. Symmetry generates all atoms from Sm at (0.0000, 0.0000, 0.0000), Sm at (0.1129, 0.2435, 0.0000), Sm at (0.1239, 0.4175, 0.0000), Er at (0.1526, 0.0950, 0.0000), Hg at (0.0000, 0.1362, 0.5000), Hg at (0.0000, 0.3337, 0.5000), Hg at (0.0000, 0.5000, 0.5000), Hg at (0.2339, 0.0000, 0.5000) and Hg at (0.2379, 0.3225, 0.5000).

As for the volume: 27.05 A^3/atom. The total energy is -3.046 eV/atom. The density of states at the Fermi level comes out at 45.4 states/eV per cell. Its density is 10817 kg/m³.

5.
Below is an optimized crystal structure of FeReAu2, with properties calculated at the GGA-PBE level.

The space group is Immm (No. 71) and the conventional cell measures 2.8366, 4.6867 and 9.5491 Å, with angles of 90.00, 90.00 and 90.00 degrees. Symmetry generates all atoms from Fe at (0.0000, 0.0000, 0.0000), Re at (0.0000, 0.0000, 0.5000) and Au at (0.0000, 0.5000, 0.2614).

The value obtained for the offset from the most stable computed form is 1.42 eV per formula unit. As for the volume: 15.87 A^3/atom. The total energy is -6.285 eV/atom. The density of states at the Fermi level comes out at 10.6 states/eV per cell. Its density is 16638 kg/m³.

6.
Below is an optimized crystal structure of Ac6Hg3Ir, with properties calculated at the GGA-PBE level.

The space group is P2_1/c (No. 14) and the conventional cell measures 8.2465, 8.3411 and 12.9417 Å, with angles of 90.00, 120.88 and 90.00 degrees. Symmetry generates all atoms from Ac at (0.0704, 0.0530, 0.2453), Ac at (0.2201, 0.6910, 0.0794), Ac at (0.3493, 0.1725, 0.0649), Hg at (0.3319, 0.1146, 0.7854), Hg at (0.5000, 0.0000, 0.5000) and Ir at (0.0000, 0.0000, 0.0000).

The value obtained for the offset from the most stable computed form is 0.00 eV per formula unit. As for the volume: 38.20 A^3/atom. The total energy is -3.850 eV/atom. The density of states at the Fermi level comes out at 20.2 states/eV per cell. Its density is 9372 kg/m³.

7.
Below is an optimized crystal structure of CeAsI, with properties calculated at the GGA-PBE level.

The space group is I4mm (No. 107) and the conventional cell measures 3.9062, 3.9062 and 11.2807 Å, with angles of 90.00, 90.00 and 90.00 degrees. Symmetry generates all atoms from Ce at (0.0000, 0.0000, 0.0000), As at (0.0000, 0.0000, 0.5911) and I at (0.0000, 0.0000, 0.3084).

The value obtained for the offset from the most stable computed form is 0.00 eV per formula unit. As for the volume: 28.69 A^3/atom. The formation energy without anion corrections comes out at -0.89 eV per atom. The total energy is -4.934 eV/atom. The density of states at the Fermi level comes out at 6.3 states/eV per cell. Its density is 6598 kg/m³.

8.
Below is an optimized crystal structure of CdFe2Cu, with properties calculated at the GGA-PBE level.

The space group is R-3m (No. 166, hexagonal axes) and the conventional cell measures 2.6966, 2.6966 and 27.0696 Å, with angles of 90.00, 90.00 and 120.00 degrees. Symmetry generates all atoms from Cd at (0.0000, 0.0000, 0.0000), Fe at (0.0000, 0.0000, 0.2431) and Cu at (0.0000, 0.0000, 0.5000).

As for the volume: 14.21 A^3/atom. The total energy is -5.113 eV/atom. The density of states at the Fermi level comes out at 11.8 states/eV per cell. Its density is 8406 kg/m³.

9.
Below is an optimized crystal structure of CrSbCl2, with properties calculated at the GGA-PBE level.

The space group is Pm (No. 6) and the conventional cell measures 3.7119, 5.7391 and 4.6890 Å, with angles of 90.00, 91.46 and 90.00 degrees. Symmetry generates all atoms from Cr at (0.0000, 0.0000, 0.0000), Sb at (0.9168, 0.5000, 0.9972), Cl at (0.1284, 0.0000, 0.5029) and Cl at (0.6052, 0.5000, 0.4939).

The value obtained for the offset from the most stable computed form is 0.77 eV per formula unit. As for the volume: 24.96 A^3/atom. The formation energy without anion corrections comes out at -0.21 eV per atom. The total energy is -4.568 eV/atom. The density of states at the Fermi level comes out at 0.9 states/eV per cell. Its density is 4069 kg/m³.